#A
{
  "formula": "NiPSe4",
  "functional": "PBE",
  "state": "optimized geometry",
  "magmom_total_mub_per_cell": 0.0,
  "cell": [[-0.736, 1.696, 2.947], [-2.578, -4.880, 2.164], [11.234, -4.277, 5.267]],
  "species": ["Ni", "Ni", "P", "P", "Se", "Se", "Se", "Se", "Se", "Se", "Se", "Se"],
  "frac_coords": [[0.500, 0.500, 0.500], [0.000, 0.000, 0.000], [0.000, 0.000, 0.500], [0.500, 0.500, 0.000], [0.500, 0.836, 0.391], [0.000, 0.664, 0.109], [0.500, 0.164, 0.609], [0.000, 0.336, 0.891], [0.000, 0.350, 0.395], [0.500, 0.150, 0.105], [0.000, 0.650, 0.605], [0.500, 0.850, 0.895]]
}

***

#B
{
  "formula": "NiPSe4",
  "functional": "PBE",
  "state": "optimized geometry",
  "magmom_total_mub_per_cell": 0.8,
  "cell": [[0.000, 3.928, 3.928], [3.928, 0.000, 3.928], [3.928, 3.928, 0.000]],
  "species": ["Ni", "P", "Se", "Se", "Se", "Se"],
  "frac_coords": [[0.250, 0.250, 0.250], [0.000, 0.000, 0.000], [0.625, 0.625, 0.126], [0.625, 0.126, 0.625], [0.625, 0.625, 0.625], [0.126, 0.625, 0.625]]
}

***

Least stable structure among those shown: #B.